Pm5TmSn8, optimized geometry, DFT PBE-GGA; DFT formation energy = -545 meV per atom; crystal system = tetragonal; uncorrected energy = -4.848 eV per atom; space group = I-4 (82); DOS at the Fermi energy = 0.648 states/eV per atom; spin magnetization = 0.00 Bohr magnetons per cell
1.0
-4.768 -0.444 6.575
1.112 -7.609 -2.651
7.375 3.139 1.385
Tm Sn Pm
1 8 5
Direct
0.250 0.500 0.750
0.150 0.759 0.557
0.609 0.408 0.850
0.799 0.241 0.391
0.443 0.592 0.201
0.298 0.262 0.399
0.137 0.738 0.036
0.601 0.899 0.863
0.964 0.101 0.702
0.500 0.000 0.500
0.984 0.365 0.125
0.760 0.635 0.620
0.380 0.141 0.016
0.875 0.859 0.240


PmTmSn, optimized geometry, DFT PBE-GGA; DFT formation energy = -612 meV per atom; crystal system = tetragonal; uncorrected energy = -5.021 eV per atom; offset from the most stable computed form = 0.0 kJ/mol of formula units; space group = I4/mmm (139); DOS at the Fermi energy = 1.170 states/eV per atom; spin magnetization = 0.72 Bohr magnetons per cell
1.0
-4.528 0.838 -0.172
-0.296 -2.401 -3.922
0.945 -6.244 6.458
Sn Tm Pm
2 2 2
Direct
0.132 0.132 0.265
0.868 0.868 0.735
0.500 0.000 0.000
0.000 0.500 0.000
0.324 0.324 0.649
0.676 0.676 0.351